[1]
The following is a DFT calculation (PBE) of an optimized crystal structure of Ge2IBr3.

Values from the calculation:
Formation energy (no corrections) in eV per formula unit: -2.98
Energy above the most stable polymorph in this dataset in eV per atom: 0.000

abc: 18.544 4.121 14.282
angles: 90.00 127.49 90.00
Space group C2/m (No. 12)
Asymmetric unit:
Ge 0.243 0.000 0.373 [4 per cell]
Ge 0.249 0.500 0.123 [4 per cell]
I 0.120 0.500 0.194 [4 per cell]
Br 0.141 0.000 0.950 [4 per cell]
Br 0.143 0.000 0.457 [4 per cell]
Br 0.147 0.500 0.712 [4 per cell]


[2]
The following is a DFT calculation (PBE) of an optimized crystal structure of Ho4Te2AsS.

Values from the calculation:
Formation energy (no corrections) in eV per formula unit: -12.42

abc: 7.107 4.118 7.403
angles: 90.00 108.80 90.00
Space group P2/m (No. 10)
Asymmetric unit:
Ho 0.230 0.000 0.208 [2 per cell]
Ho 0.258 0.500 0.788 [2 per cell]
Te 0.000 0.000 0.500 [1 per cell]
Te 0.500 0.500 0.500 [1 per cell]
As 0.500 0.000 0.000 [1 per cell]
S 0.000 0.500 0.000 [1 per cell]


Number 1: density of states at the Fermi level 0.00 states/eV/f.u., spin magnetization 0.000 μB per atom. Number 2: density of states at the Fermi level 2.56 states/eV/f.u., spin magnetization 0.000 μB per atom.